PBE-GGA InHgMo, relaxed; crystal system = trigonal; E_form = 504 meV/atom; E above lowest polymorph = 0.0 kJ/mol of atoms; total magnetic moment = 0.00 Bohr magnetons per cell; ρ = 11.38 Mg/m³
1.0
3.0682 0.0000 0.0000
-1.5341 2.6571 0.0000
0.0000 0.0000 7.3654
In Hg Mo
1 1 1
Direct
0.0000 0.0000 0.0000 In
0.3333 0.6667 0.6377 Hg
0.6667 0.3333 0.3162 Mo